Computed, not measured: a relaxed Ta2TeBr crystal at the GGA-PBE level of DFT.

Unit cell a=12.463 b=3.385 c=10.140 alpha=90.00 beta=109.81 gamma=90.00
Space group Cm (No. 8)
Unique sites:
Ta 0.000 0.000 0.000 [2 per cell]
Ta 0.051 0.500 0.806 [2 per cell]
Ta 0.233 0.500 0.059 [2 per cell]
Ta 0.296 0.000 0.875 [2 per cell]
Te 0.183 0.000 0.257 [2 per cell]
Te 0.428 0.000 0.185 [2 per cell]
Br 0.206 0.500 0.661 [2 per cell]
Br 0.452 0.500 0.592 [2 per cell]

Output
Final energy: -7.379 eV per atom
Fermi-level density of states: 8.4 states/eV per cell
Formation energy without anion corrections: -0.2489 eV/atom
Offset from the most stable computed form: 0.000 eV per atom



Computed, not measured: a relaxed TaTe2Br crystal at the GGA-PBE level of DFT.

Unit cell a=3.7000 b=3.7000 c=26.4702 alpha=90.00 beta=90.00 gamma=120.00
Space group R-3m (No. 166, hexagonal axes)
Unique sites:
Ta 0.0000 0.0000 0.0000 [3 per cell]
Te 0.0000 0.0000 0.2636 [6 per cell]
Br 0.0000 0.0000 0.5000 [3 per cell]

Output
Final energy: -5.194 eV per atom
Fermi-level density of states: 7.8 states/eV per cell
Formation energy without anion corrections: -0.2418 eV/atom
Offset from the most stable computed form: 0.123 eV per atom



Computed, not measured: a relaxed TaTe2Br crystal at the GGA-PBE level of DFT.

Unit cell a=3.501 b=3.471 c=8.408 alpha=90.00 beta=99.49 gamma=90.00
Space group P2/m (No. 10)
Unique sites:
Ta 0.000 0.000 0.000 [1 per cell]
Te 0.430 0.500 0.804 [2 per cell]
Br 0.000 0.000 0.500 [1 per cell]

Output
Final energy: -4.995 eV per atom
Fermi-level density of states: 4.0 states/eV per cell
Formation energy without anion corrections: -0.0425 eV/atom
Offset from the most stable computed form: 0.323 eV per atom



Computed, not measured: a relaxed Ta2TeBr crystal at the GGA-PBE level of DFT.

Unit cell a=3.500 b=3.500 c=6.970 alpha=90.00 beta=90.00 gamma=90.00
Space group P4/mmm (No. 123)
Unique sites:
Ta 0.000 0.000 0.196 [2 per cell]
Te 0.500 0.500 0.000 [1 per cell]
Br 0.500 0.500 0.500 [1 per cell]

Output
Final energy: -6.598 eV per atom
Fermi-level density of states: 3.6 states/eV per cell
Formation energy without anion corrections: 0.5316 eV/atom
Offset from the most stable computed form: 0.780 eV per atom



Number 2 is which compound? TaTe2Br